The following is a DFT calculation (PBE) of crystalline Zn3Pd5Au at its relaxed geometry.

The space group is C2/m (No. 12) and the conventional cell measures 8.555, 7.175 and 10.229 Å, with angles of 90.00, 98.15 and 90.00 degrees. The distinct sites, in fractional coordinates, are Zn at (0.000, 0.000, 0.000), Zn at (0.000, 0.000, 0.500), Zn at (0.180, 0.500, 0.020), Zn at (0.239, 0.500, 0.632), Pd at (0.000, 0.321, 0.500), Pd at (0.019, 0.500, 0.797), Pd at (0.204, 0.212, 0.164), Pd at (0.227, 0.500, 0.385) and Au at (0.048, 0.000, 0.764).

As for the polymorph energy (0 for the lowest one): 325 meV per atom.